## i
Entry from OQMD via LeMat-Bulk: crystalline HfNbNO at its relaxed geometry (PBE).

Results
- spin magnetization (μB/f.u.) = 0.0
- V (Å³/f.u.) = 50
- symmetry = No. 29

abc: 5.2204 6.8404 5.6562
angles: 90.00 90.00 90.00
Last column: nearest neighbours and their distance in Å.
Positions (direct):
Hf (0.1730, 0.1712, 0.0000)  3 O 2.08-2.22, 2 N 2.13-2.29
Hf (0.3270, 0.1712, 0.5000)  3 O 2.08-2.22, 2 N 2.13-2.29
Hf (0.6730, 0.8288, 0.0000)  3 O 2.08-2.22, 2 N 2.13-2.29
Hf (0.8270, 0.8288, 0.5000)  3 O 2.08-2.22, 2 N 2.13-2.29
Nb (0.1347, 0.5900, 0.1398)  3 N 2.18-2.20, 1 O 2.35
Nb (0.3653, 0.5900, 0.6398)  3 N 2.18-2.20, 1 O 2.35
Nb (0.6347, 0.4100, 0.1398)  3 N 2.18-2.20, 1 O 2.35
Nb (0.8653, 0.4100, 0.6398)  3 N 2.18-2.20, 1 O 2.35
N (0.0010, 0.6869, 0.7935)  2 Hf 2.13-2.29, 3 Nb 2.18-2.20
N (0.4990, 0.6869, 0.2935)  2 Hf 2.13-2.29, 3 Nb 2.18-2.20
N (0.5010, 0.3131, 0.7935)  2 Hf 2.13-2.29, 3 Nb 2.18-2.20
N (0.9990, 0.3131, 0.2935)  2 Hf 2.13-2.29, 3 Nb 2.18-2.20
O (0.0076, 0.9164, 0.1890)  3 Hf 2.08-2.22
O (0.4924, 0.9164, 0.6890)  3 Hf 2.08-2.22
O (0.5076, 0.0836, 0.1890)  3 Hf 2.08-2.22
O (0.9924, 0.0836, 0.6890)  3 Hf 2.08-2.22

## ii
Entry from OQMD via LeMat-Bulk: crystalline HfNbNO at its relaxed geometry (PBE).

Results
- spin magnetization (μB/f.u.) = 0.0
- V (Å³/f.u.) = 49
- symmetry = No. 129

abc: 3.6183 3.6183 7.5256
angles: 90.00 90.00 90.00
Last column: nearest neighbours and their distance in Å.
Positions (direct):
Hf (0.2500, 0.2500, 0.1520)  4 O 2.14
Hf (0.7500, 0.7500, 0.8480)  4 O 2.14
Nb (0.2500, 0.7500, 0.5000)  4 N 2.34, 4 Nb 2.56
Nb (0.7500, 0.2500, 0.5000)  4 N 2.34, 4 Nb 2.56
N (0.2500, 0.2500, 0.6971)  4 Nb 2.34
N (0.7500, 0.7500, 0.3029)  4 Nb 2.34
O (0.2500, 0.7500, 0.0000)  4 Hf 2.14
O (0.7500, 0.2500, 0.0000)  4 Hf 2.14

Computed relative energies in units of meV per atom: i 0; ii 319